# 1
DFT (PBE) results for an optimized crystal structure of LuCuSbAu.

It has space group F-43m (No. 216), with a = 6.863 Å, b = 6.863 Å, c = 6.863 Å, α = 90.00°, β = 90.00° and γ = 90.00°. The asymmetric unit holds Lu at (0.000, 0.000, 0.000), Cu at (0.250, 0.250, 0.750), Sb at (0.000, 0.000, 0.500) and Au at (0.250, 0.250, 0.250).

As for the energy above the most stable polymorph in this dataset: 8 meV/atom. The magnetization is 0.000 μB/atom.

***

# 2
DFT (PBE) results for an optimized crystal structure of LuTlCuAu.

It has space group F-43m (No. 216), with a = 6.842 Å, b = 6.842 Å, c = 6.842 Å, α = 90.00°, β = 90.00° and γ = 90.00°. The asymmetric unit holds Lu at (0.000, 0.000, 0.000), Tl at (0.250, 0.250, 0.750), Cu at (0.000, 0.000, 0.500) and Au at (0.250, 0.250, 0.250).

As for the energy above the most stable polymorph in this dataset: 64 meV/atom. The magnetization is 0.000 μB/atom.

***

# 3
DFT (PBE) results for an optimized crystal structure of LuTlCuAu.

It has space group F-43m (No. 216), with a = 6.836 Å, b = 6.836 Å, c = 6.836 Å, α = 90.00°, β = 90.00° and γ = 90.00°. The asymmetric unit holds Lu at (0.000, 0.000, 0.000), Tl at (0.000, 0.000, 0.500), Cu at (0.250, 0.250, 0.750) and Au at (0.250, 0.250, 0.250).

As for the energy above the most stable polymorph in this dataset: 0 meV/atom. The magnetization is 0.000 μB/atom.

***

# 4
DFT (PBE) results for an optimized crystal structure of LuTlCuAu.

It has space group F-43m (No. 216), with a = 6.801 Å, b = 6.801 Å, c = 6.801 Å, α = 90.00°, β = 90.00° and γ = 90.00°. The asymmetric unit holds Lu at (0.000, 0.000, 0.000), Tl at (0.250, 0.250, 0.750), Cu at (0.250, 0.250, 0.250) and Au at (0.000, 0.000, 0.500).

As for the energy above the most stable polymorph in this dataset: 132 meV/atom. The magnetization is 0.000 μB/atom.

***

# 5
DFT (PBE) results for an optimized crystal structure of MgCuSbAu.

It has space group F-43m (No. 216), with a = 6.707 Å, b = 6.707 Å, c = 6.707 Å, α = 90.00°, β = 90.00° and γ = 90.00°. The asymmetric unit holds Mg at (0.000, 0.000, 0.000), Cu at (0.000, 0.000, 0.500), Sb at (0.250, 0.250, 0.250) and Au at (0.250, 0.250, 0.750).

As for the energy above the most stable polymorph in this dataset: 0 meV/atom.

***

# 6
DFT (PBE) results for an optimized crystal structure of Mg2Sc2TlCu2Au.

It has space group P-4m2 (No. 115), with a = 4.694 Å, b = 4.694 Å, c = 6.720 Å, α = 90.00°, β = 90.00° and γ = 90.00°. The asymmetric unit holds Mg at (0.000, 0.500, 0.238), Sc at (0.000, 0.500, 0.764), Tl at (0.000, 0.000, 0.500), Cu at (0.000, 0.000, 0.000), Cu at (0.500, 0.500, 0.500) and Au at (0.500, 0.500, 0.000).

For the total energy, the calculation gives -3.94 eV per atom. The magnetization is 0.000 μB/atom.

***

# 7
DFT (PBE) results for an optimized crystal structure of Tm2Mg3ScCuAu2.

It has space group Amm2 (No. 38), with a = 3.862 Å, b = 13.048 Å, c = 7.531 Å, α = 90.00°, β = 90.00° and γ = 90.00°. The asymmetric unit holds Tm at (0.000, 0.205, 0.000), Mg at (0.500, 0.000, 0.956), Mg at (0.500, 0.120, 0.330), Sc at (0.000, 0.000, 0.614), Cu at (0.000, 0.000, 0.204) and Au at (0.500, 0.164, 0.703).

For the total energy, the calculation gives -3.87 eV per atom. The magnetization is 0.001 μB/atom.

***

# 8
DFT (PBE) results for an optimized crystal structure of Mg2Sc2ZnCuAu2.

It has space group P-4m2 (No. 115), with a = 4.663 Å, b = 4.663 Å, c = 6.593 Å, α = 90.00°, β = 90.00° and γ = 90.00°. The asymmetric unit holds Mg at (0.000, 0.500, 0.246), Sc at (0.000, 0.500, 0.755), Zn at (0.000, 0.000, 0.500), Cu at (0.500, 0.500, 0.000), Au at (0.000, 0.000, 0.000) and Au at (0.500, 0.500, 0.500).

For the total energy, the calculation gives -3.93 eV per atom. The magnetization is 0.001 μB/atom.

***

# 9
DFT (PBE) results for an optimized crystal structure of Mg2Sc2Zn2CuAu.

It has space group P-4m2 (No. 115), with a = 4.634 Å, b = 4.634 Å, c = 6.544 Å, α = 90.00°, β = 90.00° and γ = 90.00°. The asymmetric unit holds Mg at (0.000, 0.500, 0.245), Sc at (0.000, 0.500, 0.756), Zn at (0.000, 0.000, 0.000), Zn at (0.500, 0.500, 0.500), Cu at (0.500, 0.500, 0.000) and Au at (0.000, 0.000, 0.500).

For the total energy, the calculation gives -3.57 eV per atom. The magnetization is 0.000 μB/atom.

***

# 10
DFT (PBE) results for an optimized crystal structure of MgCuSiAu.

It has space group F-43m (No. 216), with a = 6.312 Å, b = 6.312 Å, c = 6.312 Å, α = 90.00°, β = 90.00° and γ = 90.00°. The asymmetric unit holds Mg at (0.000, 0.000, 0.000), Cu at (0.250, 0.250, 0.750), Si at (0.000, 0.000, 0.500) and Au at (0.250, 0.250, 0.250).

As for the energy above the most stable polymorph in this dataset: 0 meV/atom.

***

# 11
DFT (PBE) results for an optimized crystal structure of Y3Mg3ZnCuAu.

It has space group P-6 (No. 174), with a = 7.5445 Å, b = 7.5445 Å, c = 4.0715 Å, α = 90.00°, β = 90.00° and γ = 120.00°. The asymmetric unit holds Y at (0.0762, 0.7415, 0.0000), Mg at (0.4258, 0.0928, 0.5000), Zn at (0.0000, 0.0000, 0.5000), Cu at (0.6667, 0.3333, 0.0000) and Au at (0.3333, 0.6667, 0.5000).

For the total energy, the calculation gives -3.99 eV per atom. The magnetization is 0.006 μB/atom.

***

# 12
DFT (PBE) results for an optimized crystal structure of CuMoPbAu.

It has space group F-43m (No. 216), with a = 6.731 Å, b = 6.731 Å, c = 6.731 Å, α = 90.00°, β = 90.00° and γ = 90.00°. The asymmetric unit holds Cu at (0.000, 0.000, 0.000), Mo at (0.250, 0.250, 0.250), Pb at (0.250, 0.250, 0.750) and Au at (0.000, 0.000, 0.500).

As for the energy above the most stable polymorph in this dataset: 96 meV/atom. The magnetization is 0.762 μB/atom.

***

# 13
DFT (PBE) results for an optimized crystal structure of CuMoPbAu.

It has space group F-43m (No. 216), with a = 6.637 Å, b = 6.637 Å, c = 6.637 Å, α = 90.00°, β = 90.00° and γ = 90.00°. The asymmetric unit holds Cu at (0.000, 0.000, 0.000), Mo at (0.000, 0.000, 0.500), Pb at (0.250, 0.250, 0.750) and Au at (0.250, 0.250, 0.250).

As for the energy above the most stable polymorph in this dataset: 0 meV/atom. The magnetization is 0.447 μB/atom.

***

# 14
DFT (PBE) results for an optimized crystal structure of CuMoPtAu.

It has space group F-43m (No. 216), with a = 6.276 Å, b = 6.276 Å, c = 6.276 Å, α = 90.00°, β = 90.00° and γ = 90.00°. The asymmetric unit holds Cu at (0.000, 0.000, 0.000), Mo at (0.250, 0.250, 0.750), Pt at (0.000, 0.000, 0.500) and Au at (0.250, 0.250, 0.250).

As for the energy above the most stable polymorph in this dataset: 0 meV/atom. The magnetization is 0.001 μB/atom. Its formation energy from the elements is 0.14 eV per atom.

***

# 15
DFT (PBE) results for an optimized crystal structure of CuSnMoAu.

It has space group F-43m (No. 216), with a = 6.557 Å, b = 6.557 Å, c = 6.557 Å, α = 90.00°, β = 90.00° and γ = 90.00°. The asymmetric unit holds Cu at (0.000, 0.000, 0.000), Sn at (0.250, 0.250, 0.750), Mo at (0.250, 0.250, 0.250) and Au at (0.000, 0.000, 0.500).

As for the energy above the most stable polymorph in this dataset: 138 meV/atom. The magnetization is 0.620 μB/atom.

***

# 16
DFT (PBE) results for an optimized crystal structure of CuSnMoAu.

It has space group F-43m (No. 216), with a = 6.509 Å, b = 6.509 Å, c = 6.509 Å, α = 90.00°, β = 90.00° and γ = 90.00°. The asymmetric unit holds Cu at (0.000, 0.000, 0.000), Sn at (0.250, 0.250, 0.750), Mo at (0.000, 0.000, 0.500) and Au at (0.250, 0.250, 0.250).

As for the energy above the most stable polymorph in this dataset: 0 meV/atom. The magnetization is 0.368 μB/atom.

***

# 17
DFT (PBE) results for an optimized crystal structure of TlCuMoAu.

It has space group F-43m (No. 216), with a = 6.571 Å, b = 6.571 Å, c = 6.571 Å, α = 90.00°, β = 90.00° and γ = 90.00°. The asymmetric unit holds Tl at (0.000, 0.000, 0.000), Cu at (0.250, 0.250, 0.250), Mo at (0.000, 0.000, 0.500) and Au at (0.250, 0.250, 0.750).

As for the energy above the most stable polymorph in this dataset: 65 meV/atom. The magnetization is 0.578 μB/atom.

***

# 18
DFT (PBE) results for an optimized crystal structure of TlCuMoAu.

It has space group F-43m (No. 216), with a = 6.573 Å, b = 6.573 Å, c = 6.573 Å, α = 90.00°, β = 90.00° and γ = 90.00°. The asymmetric unit holds Tl at (0.000, 0.000, 0.000), Cu at (0.250, 0.250, 0.250), Mo at (0.250, 0.250, 0.750) and Au at (0.000, 0.000, 0.500).

As for the energy above the most stable polymorph in this dataset: 0 meV/atom. The magnetization is 0.528 μB/atom.

***

# 19
DFT (PBE) results for an optimized crystal structure of ZnCuMoAu.

It has space group F-43m (No. 216), with a = 6.259 Å, b = 6.259 Å, c = 6.259 Å, α = 90.00°, β = 90.00° and γ = 90.00°. The asymmetric unit holds Zn at (0.000, 0.000, 0.000), Cu at (0.250, 0.250, 0.250), Mo at (0.250, 0.250, 0.750) and Au at (0.000, 0.000, 0.500).

The magnetization is 0.420 μB/atom. Its formation energy from the elements is 0.31 eV per atom.

***

# 20
DFT (PBE) results for an optimized crystal structure of CuAu3N5.

It has space group P6/mmm (No. 191), with a = 6.4314 Å, b = 6.4314 Å, c = 3.7181 Å, α = 90.00°, β = 90.00° and γ = 120.00°. The asymmetric unit holds Cu at (0.0000, 0.0000, 0.0000), Au at (0.0000, 0.5000, 0.5000), N at (0.0000, 0.0000, 0.5000) and N at (0.3333, 0.6667, 0.1631).

For the total energy, the calculation gives -5.06 eV per atom.